Record 1
Here is a PBEsol-optimized structure of CrTcRh from the Alexandria database. Energies are from meta-GGA SCAN.

Unit cell a=2.6460 b=2.6460 c=6.4320 alpha=90.00 beta=90.00 gamma=120.00
Space group P3m1 (No. 156)
Symmetry-distinct sites (fractional):
Cr1 0.0000 0.0000 0.0000
Tc1 0.3333 0.6667 0.3264
Rh1 0.6667 0.3333 0.6821

Computed properties:
calculated total energy: -28.97 eV per atom



Record 2
Here is a PBEsol-optimized structure of DySiOs2C from the Alexandria database. Energies are from meta-GGA SCAN.

Unit cell a=3.8326 b=11.0464 c=7.0617 alpha=90.00 beta=90.00 gamma=90.00
Space group Cmcm (No. 63)
Symmetry-distinct sites (fractional):
Dy1 0.0000 0.0480 0.2500
Si1 0.0000 0.2310 0.7500
Os1 0.0000 0.3345 0.0585
C1 0.0000 0.5000 0.0000

Computed properties:
formation energy from raw total energies: -3.0 eV per formula unit



Record 3
Here is a PBEsol-optimized structure of CuSi2Rh from the Alexandria database. Energies are from meta-GGA SCAN.

Unit cell a=7.8702 b=2.8335 c=4.5989 alpha=90.00 beta=99.35 gamma=90.00
Space group C2/m (No. 12)
Symmetry-distinct sites (fractional):
Cu1 0.0000 0.0000 0.0000
Si1 0.2448 0.0000 0.7499
Rh1 0.0000 0.5000 0.5000

Computed properties:
formation energy from raw total energies: -1.2 eV per formula unit



Record 4
Here is a PBEsol-optimized structure of NaP2IrCl from the Alexandria database. Energies are from meta-GGA SCAN.

Unit cell a=4.7027 b=4.7027 c=4.4781 alpha=90.00 beta=90.00 gamma=90.00
Space group P4/mmm (No. 123)
Symmetry-distinct sites (fractional):
Na1 0.0000 0.0000 0.0000
P1 0.0000 0.5000 0.0000
Ir1 0.5000 0.5000 0.5000
Cl1 0.0000 0.0000 0.5000

Computed properties:
formation energy from raw total energies: 9.0 eV per formula unit



Record 5
Here is a PBEsol-optimized structure of GaCSN2 from the Alexandria database. Energies are from meta-GGA SCAN.

Unit cell a=3.6774 b=3.6774 c=5.1905 alpha=90.00 beta=90.00 gamma=90.00
Space group P4/mmm (No. 123)
Symmetry-distinct sites (fractional):
Ga1 0.0000 0.0000 0.0000
C1 0.5000 0.5000 0.5000
S1 0.0000 0.0000 0.5000
N1 0.0000 0.5000 0.0000

Computed properties:
formation energy from raw total energies: 11.8 eV per formula unit



Record 6
Here is a PBEsol-optimized structure of TiAg2OsRh from the Alexandria database. Energies are from meta-GGA SCAN.

Unit cell a=4.7991 b=4.7991 c=4.2905 alpha=90.00 beta=90.00 gamma=90.00
Space group P4/mmm (No. 123)
Symmetry-distinct sites (fractional):
Ti1 0.0000 0.0000 0.0000
Ag1 0.0000 0.5000 0.5000
Os1 0.5000 0.5000 0.0000
Rh1 0.0000 0.0000 0.5000

Computed properties:
calculated total energy: -35.35 eV per atom



Record 7
Here is a PBEsol-optimized structure of Li2WAu from the Alexandria database. Energies are from meta-GGA SCAN.

Unit cell a=2.6403 b=4.5955 c=5.0227 alpha=90.00 beta=90.00 gamma=90.00
Space group Pmm2 (No. 25)
Symmetry-distinct sites (fractional):
Li1 0.0000 0.0000 0.0000
Li2 0.5000 0.5000 0.1384
W1 0.5000 0.0000 0.5100
Au1 0.0000 0.5000 0.6544

Computed properties:
offset from the most stable computed form: 11.6 meV per atom



Record 8
Here is a PBEsol-optimized structure of RuPtC2 from the Alexandria database. Energies are from meta-GGA SCAN.

Unit cell a=4.5905 b=4.5905 c=9.1804 alpha=90.00 beta=90.00 gamma=90.00
Space group I-42d (No. 122)
Symmetry-distinct sites (fractional):
Ru1 0.0000 0.0000 0.0000
Pt1 0.0000 0.0000 0.5000
C1 0.2342 0.2500 0.1250

Computed properties:
calculated total energy: -30.72 eV per atom



Number 1: size of the total moment 0.0 μB/cell, ρ 10.77 g/cm3. Number 2: size of the total moment 0.0 μB/cell, ρ 12.95 g/cm3. Number 3: size of the total moment 0.0 μB/cell, ρ 7.31 g/cm3. Number 4: size of the total moment 1.9 μB/cell, ρ 5.24 g/cm3. Number 5: size of the total moment 3.0 μB/cell, ρ 3.35 g/cm3. Number 6: size of the total moment 2.5 μB/cell, ρ 9.36 g/cm3. Number 7: size of the total moment 0.0 μB/cell, ρ 10.75 g/cm3. Number 8: size of the total moment 0.0 μB/cell, ρ 10.99 g/cm3.